Material: Tm3PaC3
Method: DFT, PBE-GGA
State: relaxed

DOS at the Fermi energy in states/eV/cell: 12.3
Calculated formation energy in eV per atom: -0.367

Cell and atoms, written as POSCAR:
```
Tm3PaC3
1.0
10.119 0.000 0.000
0.000 10.119 0.000
0.000 0.000 4.971
Tm Pa C
12 4 12
direct
0.114 0.375 0.000
0.125 0.614 0.500
0.137 0.137 0.500
0.363 0.637 0.000
0.375 0.114 0.000
0.386 0.875 0.500
0.614 0.125 0.500
0.625 0.886 0.000
0.637 0.363 0.000
0.863 0.863 0.500
0.875 0.386 0.500
0.886 0.625 0.000
0.125 0.875 0.000
0.375 0.375 0.500
0.625 0.625 0.500
0.875 0.125 0.000
0.112 0.112 0.000
0.125 0.640 0.000
0.140 0.375 0.500
0.360 0.875 0.000
0.375 0.140 0.500
0.388 0.612 0.500
0.612 0.388 0.500
0.625 0.860 0.500
0.640 0.125 0.000
0.860 0.625 0.500
0.875 0.360 0.000
0.888 0.888 0.000
```


Material: Na2LaTl3
Method: DFT, PBE-GGA
State: relaxed

Distance to the lowest polymorph of the same formula in meV per atom: 36
DOS at the Fermi energy in states/eV/cell: 7.2
Calculated formation energy in eV per atom: -0.171

Cell and atoms, written as POSCAR:
```
Na2LaTl3
1.0
5.359 0.000 0.000
-2.679 4.641 0.000
0.000 0.000 14.211
Na La Tl
4 2 6
direct
0.333 0.667 0.088
0.333 0.667 0.412
0.667 0.333 0.588
0.667 0.333 0.912
0.000 0.000 0.250
0.000 0.000 0.750
0.000 0.000 0.000
0.000 0.000 0.500
0.333 0.667 0.640
0.333 0.667 0.860
0.667 0.333 0.140
0.667 0.333 0.360
```


Material: TaNb2RuAu
Method: DFT, PBE-GGA
State: relaxed

DOS at the Fermi energy in states/eV/cell: 5.7
Calculated formation energy in eV per atom: 1.243

Cell and atoms, written as POSCAR:
```
TaNb2RuAu
1.0
4.665 0.000 0.000
0.000 4.665 0.000
0.000 0.000 4.972
Ta Nb Ru Au
1 2 1 1
direct
0.000 0.000 0.000
0.000 0.500 0.500
0.500 0.000 0.500
0.500 0.500 0.500
0.500 0.500 0.000
```


Material: LiNd2Tl2
Method: DFT, PBE-GGA
State: relaxed

Distance to the lowest polymorph of the same formula in meV per atom: 92
DOS at the Fermi energy in states/eV/cell: 10.6
Calculated formation energy in eV per atom: -0.186

Cell and atoms, written as POSCAR:
```
LiNd2Tl2
1.0
-3.378 6.632 3.252
3.378 -6.632 3.252
3.378 6.632 -3.252
Li Nd Tl
2 4 4
direct
0.250 0.250 0.000
0.750 0.750 0.000
0.146 0.707 0.852
0.354 0.207 0.561
0.646 0.793 0.439
0.854 0.293 0.148
0.112 0.228 0.340
0.388 0.728 0.116
0.612 0.272 0.884
0.888 0.772 0.660
```


Material: PuMgAs2
Method: DFT, PBE-GGA
State: relaxed

Distance to the lowest polymorph of the same formula in meV per atom: 26
DOS at the Fermi energy in states/eV/cell: 11.1
Calculated formation energy in eV per atom: -0.668

Cell and atoms, written as POSCAR:
```
PuMgAs2
1.0
2.062 1.191 6.334
-2.062 1.191 6.334
0.000 -2.381 6.334
Pu Mg As
1 1 2
direct
0.000 0.000 0.000
0.826 0.826 0.826
0.418 0.418 0.418
0.580 0.580 0.580
```


Material: Rb4Pr3TaS8
Method: DFT, PBE-GGA
State: relaxed

E_form (uncorrected) in eV/atom: -1.53
DOS at the Fermi energy in states/eV/cell: 5.9

Cell and atoms, written as POSCAR:
```
Rb4Pr3TaS8
1.0
4.104 2.369 7.732
-4.104 2.369 7.732
0.000 -4.738 7.732
Rb Pr Ta S
4 3 1 8
direct
0.000 0.000 0.000
0.000 0.500 0.500
0.500 0.000 0.500
0.500 0.500 0.000
0.000 0.000 0.500
0.000 0.500 0.000
0.500 0.000 0.000
0.500 0.500 0.500
0.235 0.235 0.235
0.262 0.714 0.715
0.286 0.286 0.738
0.286 0.738 0.286
0.714 0.262 0.714
0.714 0.714 0.262
0.738 0.286 0.286
0.765 0.765 0.765
```


Material: Li2Ho2PaSe6
Method: DFT, PBE-GGA
State: relaxed

E_form (uncorrected) in eV/atom: -1.58
DOS at the Fermi energy in states/eV/cell: 3.4

Cell and atoms, written as POSCAR:
```
Li2Ho2PaSe6
1.0
3.548 -6.121 0.000
3.548 6.121 0.000
-2.357 0.000 6.502
Li Ho Pa Se
2 2 1 6
direct
0.169 0.831 0.000
0.831 0.169 0.000
0.334 0.666 0.500
0.666 0.334 0.500
0.000 0.000 0.500
0.079 0.414 0.749
0.246 0.246 0.251
0.414 0.079 0.749
0.586 0.921 0.251
0.754 0.754 0.749
0.921 0.586 0.251
```


Material: BaNpAlS4
Method: DFT, PBE-GGA
State: relaxed

E_form (uncorrected) in eV/atom: -1.48
DOS at the Fermi energy in states/eV/cell: 16.0

Cell and atoms, written as POSCAR:
```
BaNpAlS4
1.0
6.598 0.000 0.000
0.000 6.669 0.000
-2.586 0.000 8.125
Ba Np Al S
2 2 2 8
direct
0.241 0.250 0.435
0.759 0.750 0.565
0.279 0.250 0.948
0.721 0.750 0.052
0.269 0.750 0.177
0.731 0.250 0.823
0.062 0.750 0.917
0.074 0.750 0.351
0.498 0.505 0.777
0.498 0.995 0.777
0.502 0.005 0.223
0.502 0.495 0.223
0.926 0.250 0.649
0.938 0.250 0.083
```


Spin magnetization for the records above, in order: 0.00 0.00 0.00 0.00 1.20 0.10 0.09 0.57 μB/atom
Calculated total energy for the records above, in order: -7.59 -2.62 -7.67 -3.42 -6.97 -5.47 -5.53 -6.49 eV/atom